Entry from the Alexandria database: an optimized crystal structure of K3Na4As4 (PBE).

total magnetic moment = 2.556 Bohr magnetons per cell
formation enthalpy at 0 K = -0.3391 eV/atom

```
data_K3Na4As4
_chemical_formula_sum 'K6 Na8 As8'
_space_group_name_H-M_alt 'I m m m'
_space_group_IT_number 71
_space_group_name_Hall '-I 2 2'
_cell_length_a 5.084
_cell_length_b 7.710
_cell_length_c 16.805
_cell_angle_alpha 90.00
_cell_angle_beta 90.00
_cell_angle_gamma 90.00
loop_
_atom_site_label
_atom_site_fract_x
_atom_site_fract_y
_atom_site_fract_z
K1 0.000 0.000 0.000
K2 0.000 0.500 0.130
Na1 0.000 0.293 0.323
As1 0.000 0.000 0.203
As2 0.000 0.151 0.500
```